A geometry-optimized PmAl9Co2 structure, computed with PBE-GGA.

abc: 6.824 8.226 8.226
angles: 80.09 65.49 65.49
Element x y z (fractional)
Al1 0.737 0.820 0.576
Al2 0.687 0.576 0.180
Al3 0.013 0.680 0.924
Al4 0.000 0.000 0.000
Al5 0.618 0.320 0.076
Al6 0.618 0.076 0.320
Al7 0.737 0.576 0.820
Al8 0.132 0.180 0.424
Al9 0.750 0.500 0.500
Al10 0.132 0.424 0.180
Al11 0.307 0.076 0.680
Al12 0.687 0.180 0.576
Al13 0.307 0.680 0.076
Al14 0.063 0.320 0.924
Al15 0.443 0.424 0.820
Al16 0.063 0.924 0.320
Al17 0.013 0.924 0.680
Al18 0.443 0.820 0.424
Co1 0.875 0.250 0.750
Co2 0.875 0.750 0.250
Co3 0.375 0.750 0.750
Co4 0.875 0.250 0.250
Pm1 0.250 0.500 0.500
Pm2 0.500 0.000 0.000

Results
Final energy in eV per formula unit: -57.197
Space group: No. 141
Volume in Å³/f.u.: 191
Density in g/cm3: 4.393